(1)
TbNbO4 | PBEsol | optimized geometry

raw total energy	-109.70	eV for the cell shown
space group	I4_1/amd
energy relative to the elements, uncorrected	-3.00	eV per atom
DOS at the Fermi energy	0.0	states/eV/cell

Structure (extended XYZ):
```
12
Lattice="-0.043 4.992 -3.545 -5.327 -3.012 0.187 1.217 1.857 5.706" Properties=species:S:1:pos:R:3 pbc="T T T"
Tb -3.398 -0.082 2.107
Tb 0.000 0.000 0.000
Nb -0.755 3.920 0.241
Nb -2.685 0.990 -1.679
O -2.537 4.063 0.754
O 0.011 2.237 0.446
O -3.451 2.672 -1.884
O 0.462 4.870 1.277
O -0.957 4.507 -1.512
O 0.314 2.704 3.514
O -2.483 0.402 0.074
O -2.686 1.896 2.992
```

=====

(2)
TbNbO4 | PBEsol | optimized geometry

raw total energy	-111.05	eV for the cell shown
space group	P4/nbm
energy relative to the elements, uncorrected	-3.12	eV per atom
DOS at the Fermi energy	0.0	states/eV/cell

Structure (extended XYZ):
```
12
Lattice="-1.790 3.223 3.512 2.257 -2.946 3.853 4.471 2.911 -0.393" Properties=species:S:1:pos:R:3 pbc="T T T"
Tb 3.364 -0.017 1.730
Tb 0.000 0.000 0.000
Nb 1.340 3.067 1.560
Nb 0.233 0.138 3.683
O 3.066 2.280 1.374
O 3.589 2.026 5.448
O 2.739 -0.653 3.898
O 0.482 2.722 3.225
O 1.092 0.912 5.197
O 1.092 0.483 2.017
O 4.712 1.145 3.255
O 2.979 3.836 3.476
```

=====

(3)
TbNbO4 | PBEsol | optimized geometry

raw total energy	-111.14	eV for the cell shown
space group	I4_1/a
energy relative to the elements, uncorrected	-3.12	eV per atom
DOS at the Fermi energy	0.0	states/eV/cell

Structure (extended XYZ):
```
12
Lattice="-0.172 4.827 -1.932 -4.256 0.980 2.828 5.356 -1.143 3.671" Properties=species:S:1:pos:R:3 pbc="T T T"
Nb 0.000 0.000 0.000
Nb -0.557 1.370 3.473
Tb -2.214 2.904 0.448
Tb 1.485 3.294 1.094
O -3.038 4.745 1.622
O 3.242 0.084 2.458
O 1.053 2.322 3.171
O -0.238 1.707 0.784
O -0.491 4.490 0.758
O 3.575 2.732 2.042
O 1.558 0.143 4.687
O -1.946 2.432 2.747
```